[1]
Below is Ca4ZnSe2 after structural relaxation, with properties calculated at the PBE-GGA level.

Calculated values
Crystal system: tetragonal
Formation energy (no corrections): -706 meV/atom
Spin magnetization: 0.00 μB per formula unit

Unit cell a=5.393 b=5.393 c=15.513 alpha=90.00 beta=90.00 gamma=90.00
Space group I4/mmm (No. 139)
Asymmetric unit:
Ca: 0.000 0.000 0.187 x4
Ca: 0.000 0.500 0.000 x4
Zn: 0.000 0.000 0.000 x2
Se: 0.000 0.000 0.368 x4

[2]
Below is Ho3US4 after structural relaxation, with properties calculated at the PBE-GGA level.

Calculated values
Crystal system: trigonal
Formation energy (no corrections): -1827 meV/atom
Spin magnetization: 2.56 μB per formula unit

Unit cell a=3.8619 b=3.8619 c=38.3396 alpha=90.00 beta=90.00 gamma=120.00
Space group R-3m (No. 166, hexagonal axes)
Asymmetric unit:
Ho: 0.0000 0.0000 0.0000 x3
Ho: 0.0000 0.0000 0.2490 x6
U: 0.0000 0.0000 0.5000 x3
S: 0.0000 0.0000 0.1245 x6
S: 0.0000 0.0000 0.3749 x6

[3]
Below is PmCd2Pt6 after structural relaxation, with properties calculated at the PBE-GGA level.

Calculated values
Crystal system: cubic
Spin magnetization: 0.00 μB per formula unit
DFT formation energy: 180 meV per atom

Unit cell a=9.139 b=9.139 c=9.139 alpha=90.00 beta=90.00 gamma=90.00
Space group Fm-3m (No. 225)
Asymmetric unit:
Pm: 0.000 0.000 0.000 x4
Cd: 0.250 0.250 0.250 x8
Pt: 0.000 0.000 0.291 x24

[4]
Below is Li8Ga6Au after structural relaxation, with properties calculated at the PBE-GGA level.

Calculated values
Crystal system: trigonal
Spin magnetization: 0.00 μB per formula unit
DFT formation energy: -275 meV per atom

Unit cell a=7.0851 b=7.0851 c=17.0749 alpha=90.00 beta=90.00 gamma=120.00
Space group R-3 (No. 148, hexagonal axes)
Asymmetric unit:
Li: 0.0000 0.0000 0.0886 x6
Li: 0.0401 0.7748 0.6252 x18
Ga: 0.0014 0.7443 0.7865 x18
Au: 0.0000 0.0000 0.5000 x3

- What is the formula in the third record?
  PmCd2Pt6